Record 1
PBE-GGA Ba3ZnCo, optimized geometry; total moment = 0.00 μB/f.u.; DOS at the Fermi energy = 8.6 states/eV/cell; energy of formation = 0.26 eV/atom; crystal system = cubic; calculated total energy = -2.568 eV per atom
1.0
5.867 0.000 0.000
0.000 5.867 0.000
0.000 0.000 5.867
Ba Zn Co
3 1 1
Direct
0.000 0.000 0.500
0.000 0.500 0.000
0.500 0.000 0.000
0.500 0.500 0.500
0.000 0.000 0.000

***

Record 2
PBE-GGA InIrBr2, optimized geometry; total moment = 2.05 μB/f.u.; DOS at the Fermi energy = 3.5 states/eV/cell; crystal system = tetragonal; calculated total energy = -3.062 eV per atom; E_form (uncorrected) = 65 kJ per mole of atoms
1.0
3.398 0.000 0.000
0.000 3.398 0.000
0.000 0.000 8.208
In Ir Br
1 1 2
Direct
0.000 0.000 0.000
0.000 0.000 0.500
0.500 0.500 0.299
0.500 0.500 0.701

***

Record 3
PBE-GGA LiRuRh, optimized geometry; total moment = 0.00 μB/f.u.; DOS at the Fermi energy = 5.5 states/eV/cell; energy of formation = 0.06 eV/atom; crystal system = orthorhombic; calculated total energy = -6.125 eV per atom
1.0
-2.208 2.469 3.647
2.208 -2.469 3.647
2.208 2.469 -3.647
Li Ru Rh
2 2 2
Direct
0.427 0.177 0.250
0.573 0.823 0.750
0.000 0.500 0.500
0.500 0.500 0.000
0.089 0.839 0.250
0.911 0.161 0.750

***

Record 4
PBE-GGA AlGe2Pb, optimized geometry; total moment = 0.00 μB/f.u.; DOS at the Fermi energy = 2.0 states/eV/cell; energy of formation = 0.33 eV/atom; crystal system = cubic; calculated total energy = -3.842 eV per atom
1.0
0.000 3.540 3.540
3.540 0.000 3.540
3.540 3.540 0.000
Al Ge Pb
1 2 1
Direct
0.000 0.000 0.000
0.250 0.250 0.250
0.750 0.750 0.750
0.500 0.500 0.500

***

Record 5
PBE-GGA MoPbI2N, optimized geometry; total moment = 3.63 μB/f.u.; DOS at the Fermi energy = 3.2 states/eV/cell; crystal system = tetragonal; calculated total energy = -3.672 eV per atom; E_form (uncorrected) = 147 kJ per mole of atoms
1.0
5.966 0.000 0.000
0.000 5.966 0.000
0.000 0.000 4.671
Mo Pb I N
1 1 2 1
Direct
0.000 0.000 0.000
0.500 0.500 0.500
0.000 0.500 0.500
0.500 0.000 0.500
0.500 0.500 0.000

***

Record 6
PBE-GGA LaThFe10, optimized geometry; total moment = 21.27 μB/f.u.; DOS at the Fermi energy = 17.1 states/eV/cell; energy of formation = 0.01 eV/atom; crystal system = orthorhombic; calculated total energy = -8.075 eV per atom
1.0
4.026 0.000 0.000
0.000 5.103 0.000
0.000 0.000 8.834
La Th Fe
1 1 10
Direct
0.000 0.000 0.000
0.000 0.500 0.500
0.000 0.000 0.335
0.000 0.000 0.665
0.000 0.500 0.168
0.000 0.500 0.832
0.500 0.000 0.500
0.500 0.252 0.253
0.500 0.252 0.747
0.500 0.500 0.000
0.500 0.748 0.253
0.500 0.748 0.747

***

Record 7
PBE-GGA Ac2NdGe, optimized geometry; total moment = 0.00 μB/f.u.; DOS at the Fermi energy = 6.5 states/eV/cell; energy of formation = -0.23 eV/atom; crystal system = tetragonal; calculated total energy = -4.628 eV per atom
1.0
4.062 0.000 0.000
0.000 4.062 0.000
0.000 0.000 8.522
Ac Nd Ge
2 1 1
Direct
0.000 0.000 0.198
0.000 0.000 0.802
0.500 0.500 0.500
0.500 0.500 0.000

***

Record 8
PBE-GGA Sr2Hf2Tl, optimized geometry; total moment = 0.00 μB/f.u.; DOS at the Fermi energy = 8.4 states/eV/cell; energy of formation = 0.45 eV/atom; crystal system = tetragonal; calculated total energy = -4.675 eV per atom
1.0
7.619 0.000 0.000
0.000 7.619 0.000
0.000 0.000 5.512
Sr Hf Tl
4 4 2
Direct
0.170 0.330 0.000
0.330 0.830 0.000
0.670 0.170 0.000
0.830 0.670 0.000
0.134 0.634 0.500
0.366 0.134 0.500
0.634 0.866 0.500
0.866 0.366 0.500
0.000 0.000 0.500
0.500 0.500 0.500

***

Record 9
PBE-GGA LaCd5Pd2, optimized geometry; total moment = 0.00 μB/f.u.; DOS at the Fermi energy = 4.4 states/eV/cell; energy of formation = -0.40 eV/atom; crystal system = orthorhombic; calculated total energy = -2.885 eV per atom
1.0
-2.072 4.302 5.061
2.072 -4.302 5.061
2.072 4.302 -5.061
La Cd Pd
1 5 2
Direct
0.000 0.000 0.000
0.160 0.347 0.813
0.466 0.653 0.813
0.500 0.000 0.500
0.534 0.347 0.187
0.840 0.653 0.187
0.220 0.720 0.500
0.780 0.280 0.500

***

Record 10
PBE-GGA SiAg2Pb, optimized geometry; total moment = 0.00 μB/f.u.; DOS at the Fermi energy = 2.2 states/eV/cell; crystal system = monoclinic; calculated total energy = -3.402 eV per atom; E_form (uncorrected) = 30 kJ per mole of atoms
1.0
3.368 0.000 0.000
0.000 4.505 0.000
-1.503 0.000 5.676
Si Ag Pb
1 2 1
Direct
0.000 0.000 0.000
0.098 0.500 0.240
0.671 0.000 0.388
0.403 0.500 0.755

***

Record 11
PBE-GGA HoAl2Ir, optimized geometry; total moment = 0.00 μB/f.u.; DOS at the Fermi energy = 0.9 states/eV/cell; energy of formation = -0.56 eV/atom; crystal system = cubic; calculated total energy = -5.789 eV per atom
1.0
0.000 3.245 3.245
3.245 0.000 3.245
3.245 3.245 0.000
Ho Al Ir
1 2 1
Direct
0.000 0.000 0.000
0.250 0.250 0.250
0.750 0.750 0.750
0.500 0.500 0.500

***

Record 12
PBE-GGA Pm5Nd4Dy, optimized geometry; total moment = 0.00 μB/f.u.; DOS at the Fermi energy = 14.8 states/eV/cell; energy of formation = 0.01 eV/atom; crystal system = monoclinic; calculated total energy = -4.729 eV per atom
1.0
13.048 -1.827 0.000
13.048 1.827 0.000
-1.035 0.000 7.225
Pm Nd Dy
5 4 1
Direct
0.000 0.000 0.000
0.200 0.200 0.100
0.401 0.401 0.700
0.599 0.599 0.300
0.800 0.800 0.900
0.200 0.200 0.600
0.401 0.401 0.202
0.599 0.599 0.798
0.800 0.800 0.400
0.000 0.000 0.500

***

Record 13
PBE-GGA LiAlCuF6, optimized geometry; total moment = 1.00 μB/f.u.; DOS at the Fermi energy = 13.2 states/eV/cell; crystal system = trigonal; calculated total energy = -5.027 eV per atom; E_form (uncorrected) = -260 kJ per mole of atoms
1.0
5.066 0.000 0.000
-2.533 4.388 0.000
0.000 0.000 8.934
Li Al Cu F
2 2 2 12
Direct
0.000 0.000 0.000
0.000 0.000 0.500
0.333 0.667 0.250
0.667 0.333 0.750
0.333 0.667 0.750
0.667 0.333 0.250
0.032 0.367 0.135
0.032 0.665 0.365
0.335 0.367 0.365
0.335 0.968 0.135
0.367 0.032 0.635
0.367 0.335 0.865
0.633 0.665 0.135
0.633 0.968 0.365
0.665 0.032 0.865
0.665 0.633 0.635
0.968 0.335 0.635
0.968 0.633 0.865

***

Record 14
PBE-GGA K3Th3MnS8, optimized geometry; total moment = 4.41 μB/f.u.; DOS at the Fermi energy = 5.9 states/eV/cell; crystal system = trigonal; calculated total energy = -6.075 eV per atom; E_form (uncorrected) = -150 kJ per mole of atoms
1.0
4.069 2.350 7.528
-4.069 2.350 7.528
0.000 -4.699 7.528
K Th Mn S
3 3 1 8
Direct
0.000 0.500 0.500
0.500 0.000 0.500
0.500 0.500 0.000
0.000 0.000 0.500
0.000 0.500 0.000
0.500 0.000 0.000
0.500 0.500 0.500
0.239 0.239 0.239
0.242 0.726 0.726
0.274 0.274 0.758
0.274 0.758 0.274
0.726 0.242 0.726
0.726 0.726 0.242
0.758 0.274 0.274
0.761 0.761 0.761

***

Record 15
PBE-GGA KAs3Ir, optimized geometry; total moment = 0.00 μB/f.u.; DOS at the Fermi energy = 5.2 states/eV/cell; energy of formation = 0.30 eV/atom; crystal system = cubic; calculated total energy = -4.482 eV per atom
1.0
4.999 0.000 0.000
0.000 4.999 0.000
0.000 0.000 4.999
K As Ir
1 3 1
Direct
0.000 0.000 0.000
0.000 0.500 0.500
0.500 0.000 0.500
0.500 0.500 0.000
0.500 0.500 0.500

***

Record 16
PBE-GGA Ba2Mg4Ge3Au, optimized geometry; total moment = 0.00 μB/f.u.; DOS at the Fermi energy = 3.2 states/eV/cell; energy of formation = -0.48 eV/atom; crystal system = tetragonal; calculated total energy = -3.218 eV per atom
1.0
4.765 0.000 0.000
0.000 4.765 0.000
0.000 0.000 11.178
Ba Mg Ge Au
2 4 3 1
Direct
0.000 0.500 0.246
0.500 0.000 0.754
0.000 0.000 0.500
0.000 0.500 0.878
0.500 0.000 0.122
0.500 0.500 0.500
0.000 0.000 0.000
0.000 0.500 0.635
0.500 0.000 0.365
0.500 0.500 0.000

***

Record 17
PBE-GGA AgC2, optimized geometry; total moment = 0.00 μB/f.u.; DOS at the Fermi energy = 1.1 states/eV/cell; energy of formation = 2.27 eV/atom; crystal system = tetragonal; calculated total energy = -4.834 eV per atom
1.0
2.505 0.000 0.000
0.000 2.505 0.000
0.000 0.000 5.042
Ag C
1 2
Direct
0.000 0.000 0.000
0.000 0.500 0.500
0.500 0.000 0.500

***

Record 18
PBE-GGA TlNi3Se3, optimized geometry; total moment = 0.00 μB/f.u.; DOS at the Fermi energy = 8.4 states/eV/cell; crystal system = trigonal; calculated total energy = -4.592 eV per atom; E_form (uncorrected) = -27 kJ per mole of atoms
1.0
3.267 1.886 8.173
-3.267 1.886 8.173
0.000 -3.772 8.173
Tl Ni Se
2 6 6
Direct
0.166 0.166 0.166
0.834 0.834 0.834
0.028 0.698 0.365
0.302 0.635 0.972
0.365 0.028 0.698
0.635 0.972 0.302
0.698 0.365 0.028
0.972 0.302 0.635
0.069 0.399 0.732
0.268 0.931 0.601
0.399 0.732 0.069
0.601 0.268 0.931
0.732 0.069 0.399
0.931 0.601 0.268

***

Record 19
PBE-GGA LiPm3Zn2, optimized geometry; total moment = 0.00 μB/f.u.; DOS at the Fermi energy = 6.8 states/eV/cell; energy of formation = -0.19 eV/atom; crystal system = tetragonal; calculated total energy = -3.311 eV per atom
1.0
3.706 0.000 0.000
0.000 3.706 0.000
0.000 0.000 11.114
Li Pm Zn
1 3 2
Direct
0.000 0.000 0.000
0.500 0.500 0.182
0.500 0.500 0.500
0.500 0.500 0.818
0.000 0.000 0.336
0.000 0.000 0.664

***

Record 20
PBE-GGA Ba3ScOs2O9, optimized geometry; total moment = 1.13 μB/f.u.; DOS at the Fermi energy = 8.7 states/eV/cell; crystal system = trigonal; calculated total energy = -7.474 eV per atom; E_form (uncorrected) = -212 kJ per mole of atoms
1.0
5.789 0.000 0.000
-2.895 5.014 0.000
0.000 0.000 7.078
Ba Sc Os O
3 1 2 9
Direct
0.000 0.000 0.000
0.333 0.667 0.662
0.667 0.333 0.338
0.000 0.000 0.500
0.333 0.667 0.159
0.667 0.333 0.841
0.000 0.500 0.000
0.172 0.345 0.326
0.172 0.828 0.326
0.345 0.172 0.674
0.500 0.000 0.000
0.500 0.500 0.000
0.655 0.828 0.326
0.828 0.172 0.674
0.828 0.655 0.674